VASP calculation (PBE) on crystalline ScCrPb at its relaxed geometry.

The structure in CIF format:
```
data_ScCrPb
_symmetry_space_group_name_H-M 'P 1'
_symmetry_Int_Tables_number 1
_symmetry_space_group_name_Hall 'P 1'
_cell_length_a 4.670
_cell_length_b 4.670
_cell_length_c 4.670
_cell_angle_alpha 60.00
_cell_angle_beta 60.00
_cell_angle_gamma 60.00
loop_
_atom_site_label
_atom_site_type_symbol
_atom_site_fract_x
_atom_site_fract_y
_atom_site_fract_z
Cr1 Cr 0.750 0.750 0.750
Pb1 Pb 0.000 0.000 0.000
Sc1 Sc 0.500 0.500 0.500
```

**Total magnetic moment**: 4.92 μB/f.u.
**Final energy**: -6.342 eV per atom